Compound: Na3Pm2DyS6
Source: Alexandria via LeMat-Bulk
Functional: GGA-PBE
Structure: optimized geometry

a = 7.037 Å, b = 7.037 Å, c = 7.089 Å
α = 99.53°, β = 99.53°, γ = 120.00°
Atoms (fractional coordinates):
Na: 0.000 0.000 0.000
Na: 0.333 0.667 0.000
Na: 0.667 0.333 0.000
Pm: 0.167 0.833 0.500
Pm: 0.833 0.167 0.500
Dy: 0.500 0.500 0.500
S: 0.096 0.423 0.270
S: 0.250 0.250 0.729
S: 0.423 0.096 0.270
S: 0.577 0.904 0.730
S: 0.750 0.750 0.271
S: 0.904 0.577 0.730

Computed properties:
Symmetry = C2/m (12)
Formation energy (no corrections) = -1.82 eV per atom